Below is Ca3N after structural relaxation, with properties calculated at the PBE level.

Final energy in eV per atom: -3.885
ΔE_f (raw) in eV per atom: -0.30
M_tot in μB/f.u.: 0.0

a b c (Å): 9.6299 9.6299 3.2985
angles (deg): 90.00 90.00 120.00
Space group P6_3/m (No. 176)
Inequivalent atoms, fractional coordinates:
1 Ca 0.1843 0.7252 0.2500 (multiplicity 6)
2 N 0.3333 0.6667 0.7500 (multiplicity 2)


Below is GaBi2HBr after structural relaxation, with properties calculated at the PBE level.

Final energy in eV per atom: -3.023
Energy above the lowest structure with this stoichiometry in eV/f.u.: 0.00
M_tot in μB/f.u.: 0.0

a b c (Å): 5.950 5.950 3.418
angles (deg): 90.00 90.00 90.00
Space group P4/mmm (No. 123)
Inequivalent atoms, fractional coordinates:
1 Ga 0.000 0.000 0.000 (multiplicity 1)
2 Bi 0.000 0.500 0.000 (multiplicity 2)
3 H 0.000 0.000 0.500 (multiplicity 1)
4 Br 0.500 0.500 0.500 (multiplicity 1)


Below is Ac2BiTe after structural relaxation, with properties calculated at the PBE level.

Final energy in eV per atom: -5.016
ΔE_f (raw) in eV per atom: -1.21
Energy above the lowest structure with this stoichiometry in eV/f.u.: 0.27
M_tot in μB/f.u.: 0.0

a b c (Å): 8.057 8.352 4.675
angles (deg): 90.00 90.00 90.00
Space group Pnnm (No. 58)
Inequivalent atoms, fractional coordinates:
1 Ac 0.166 0.249 0.000 (multiplicity 4)
2 Bi 0.000 0.000 0.500 (multiplicity 2)
3 Te 0.000 0.500 0.500 (multiplicity 2)


Below is Ho4Ag2HgPt after structural relaxation, with properties calculated at the PBE level.

Final energy in eV per atom: -4.413
Energy of formation in eV per atom: -0.62
M_tot in μB/f.u.: 0.0

a b c (Å): 5.0922 5.0922 24.9028
angles (deg): 90.00 90.00 120.00
Space group R-3m (No. 166, hexagonal axes)
Inequivalent atoms, fractional coordinates:
1 Ho 0.0000 0.0000 0.1185 (multiplicity 6)
2 Ho 0.0000 0.0000 0.3700 (multiplicity 6)
3 Ag 0.0000 0.0000 0.2439 (multiplicity 6)
4 Hg 0.0000 0.0000 0.5000 (multiplicity 3)
5 Pt 0.0000 0.0000 0.0000 (multiplicity 3)


Below is MgSb2TeF after structural relaxation, with properties calculated at the PBE level.

Final energy in eV per atom: -3.174
ΔE_f (raw) in eV per atom: -0.20
Energy above the lowest structure with this stoichiometry in eV/f.u.: 0.00
M_tot in μB/f.u.: 0.0

a b c (Å): 4.706 4.706 5.693
angles (deg): 90.00 90.00 90.00
Space group P4/mmm (No. 123)
Inequivalent atoms, fractional coordinates:
1 Mg 0.000 0.000 0.000 (multiplicity 1)
2 Sb 0.000 0.500 0.500 (multiplicity 2)
3 Te 0.500 0.500 0.000 (multiplicity 1)
4 F 0.500 0.500 0.500 (multiplicity 1)


Below is Rb2GaAu5 after structural relaxation, with properties calculated at the PBE level.

Final energy in eV per atom: -2.891
Energy of formation in eV per atom: -0.22
M_tot in μB/f.u.: 0.0

a b c (Å): 6.303 6.303 11.198
angles (deg): 90.00 90.00 90.00
Space group I4mm (No. 107)
Inequivalent atoms, fractional coordinates:
1 Rb 0.000 0.500 0.000 (multiplicity 4)
2 Ga 0.000 0.000 0.163 (multiplicity 2)
3 Au 0.000 0.000 0.929 (multiplicity 2)
4 Au 0.231 0.231 0.747 (multiplicity 8)


Below is PbW2N2 after structural relaxation, with properties calculated at the PBE level.

Final energy in eV per atom: -8.258
ΔE_f (raw) in eV per atom: 1.00
Energy above the lowest structure with this stoichiometry in eV/f.u.: 3.52
M_tot in μB/f.u.: 0.0

a b c (Å): 7.239 7.239 2.802
angles (deg): 90.00 90.00 90.00
Space group P4/mbm (No. 127)
Inequivalent atoms, fractional coordinates:
1 Pb 0.000 0.000 0.000 (multiplicity 2)
2 W 0.122 0.378 0.500 (multiplicity 4)
3 N 0.114 0.614 0.000 (multiplicity 4)


Below is Dy2Mg3Hg2 after structural relaxation, with properties calculated at the PBE level.

Final energy in eV per atom: -2.327
Energy of formation in eV per atom: -0.24
M_tot in μB/f.u.: 0.0

a b c (Å): 10.882 4.512 7.273
angles (deg): 90.00 98.56 90.00
Space group C2/m (No. 12)
Inequivalent atoms, fractional coordinates:
1 Dy 0.120 0.000 0.354 (multiplicity 4)
2 Mg 0.000 0.500 0.000 (multiplicity 2)
3 Mg 0.190 0.000 0.873 (multiplicity 4)
4 Hg 0.103 0.500 0.658 (multiplicity 4)


Below is V6Ga3Ni after structural relaxation, with properties calculated at the PBE level.

Final energy in eV per atom: -6.910
Energy of formation in eV per atom: 0.05
M_tot in μB/f.u.: 0.0

a b c (Å): 8.340 13.531 5.056
angles (deg): 90.00 90.00 90.00
Space group Cmc2_1 (No. 36)
Inequivalent atoms, fractional coordinates:
1 V 0.000 0.001 0.000 (multiplicity 4)
2 V 0.000 0.236 0.251 (multiplicity 4)
3 V 0.160 0.413 0.252 (multiplicity 8)
4 V 0.249 0.250 0.000 (multiplicity 8)
5 Ga 0.000 0.352 0.750 (multiplicity 4)
6 Ga 0.215 0.087 0.253 (multiplicity 8)
7 Ni 0.000 0.164 0.749 (multiplicity 4)


Below is Li12Hg6Pt after structural relaxation, with properties calculated at the PBE level.

Final energy in eV per atom: -1.930
Energy of formation in eV per atom: -0.31
M_tot in μB/f.u.: 0.0

a b c (Å): 10.0698 10.0698 11.9726
angles (deg): 90.00 90.00 120.00
Space group R-3 (No. 148, hexagonal axes)
Inequivalent atoms, fractional coordinates:
1 Li 0.0360 0.1835 0.3247 (multiplicity 18)
2 Li 0.0590 0.8468 0.9092 (multiplicity 18)
3 Hg 0.0147 0.4233 0.2129 (multiplicity 18)
4 Pt 0.0000 0.0000 0.5000 (multiplicity 3)


Below is Pm4NdGe2 after structural relaxation, with properties calculated at the PBE level.

Final energy in eV per atom: -5.171
Energy of formation in eV per atom: -0.46
M_tot in μB/f.u.: 0.0

a b c (Å): 9.980 9.980 4.109
angles (deg): 90.00 90.00 90.00
Space group P4_2/mnm (No. 136)
Inequivalent atoms, fractional coordinates:
1 Pm 0.105 0.330 0.000 (multiplicity 8)
2 Nd 0.000 0.000 0.500 (multiplicity 2)
3 Ge 0.164 0.836 0.000 (multiplicity 4)


Q: What is the formula in the sixth record?
A: Rb2GaAu5